Record 1
Here is a relaxed PaW2 crystal from OQMD via LeMat-Bulk. Energies are from PBE-GGA.

formation energy: 4.347 eV/atom
magnetization: 45.030 μB per cell
calculated total energy: -7.4589 eV/atom
volume: 69.70 A^3/atom

Cell lengths 11.8711, 11.8711, 11.8711 Å; angles 90.00, 90.00, 90.00 degrees
Last column: nearest neighbours and their distance in Å.
Space group Fd-3m (No. 227, origin choice 2)
Symmetry-distinct sites (fractional):
Pa (0.1250, 0.1250, 0.1250) [8 per cell]  4 W 2.57
W (0.0000, 0.0000, 0.0000) [16 per cell]  2 Pa 2.57


Record 2
Here is a relaxed PaW crystal from OQMD via LeMat-Bulk. Energies are from PBE-GGA.

formation energy: 0.608 eV/atom
magnetization: 0.014 μB per cell
calculated total energy: -10.6197 eV/atom
volume: 20.53 A^3/atom

Cell lengths 3.0791, 3.0791, 5.0009 Å; angles 90.00, 90.00, 120.00 degrees
Last column: nearest neighbours and their distance in Å.
Space group P-6m2 (No. 187)
Symmetry-distinct sites (fractional):
Pa (0.0000, 0.0000, 0.0000) [1 per cell]  6 W 3.07, 6 Pa 3.08
W (0.6667, 0.3333, 0.5000) [1 per cell]  6 Pa 3.07, 6 W 3.08


Record 3
Here is a relaxed PaW crystal from OQMD via LeMat-Bulk. Energies are from PBE-GGA.

formation energy: 1.891 eV/atom
magnetization: 0.006 μB per cell
calculated total energy: -9.3374 eV/atom
volume: 27.82 A^3/atom

Cell lengths 6.0601, 6.0601, 6.0601 Å; angles 90.00, 90.00, 90.00 degrees
Last column: nearest neighbours and their distance in Å.
Space group F-43m (No. 216)
Symmetry-distinct sites (fractional):
Pa (0.0000, 0.0000, 0.0000) [4 per cell]  4 W 2.62
W (0.2500, 0.2500, 0.7500) [4 per cell]  4 Pa 2.62


Repeat the first record exactly.
Here is a relaxed PaW2 crystal from OQMD via LeMat-Bulk. Energies are from PBE-GGA.

formation energy: 4.347 eV/atom
magnetization: 45.030 μB per cell
calculated total energy: -7.4589 eV/atom
volume: 69.70 A^3/atom

Cell lengths 11.8711, 11.8711, 11.8711 Å; angles 90.00, 90.00, 90.00 degrees
Last column: nearest neighbours and their distance in Å.
Space group Fd-3m (No. 227, origin choice 2)
Symmetry-distinct sites (fractional):
Pa (0.1250, 0.1250, 0.1250) [8 per cell]  4 W 2.57
W (0.0000, 0.0000, 0.0000) [16 per cell]  2 Pa 2.57


- What is the calculated total energy in the third record?
  -9.3374 eV/atom